No. 1
Na16LiCd12 PBE optimized geometry; density = 3.6 g cm⁻³; formation energy = -81.5 meV/atom
1.0
9.540 -0.054 -3.365
-4.757 8.269 -3.365
-0.016 -0.028 10.073
Cd Na Li
12 16 1
Cartesian
-1.717 3.002 0.633
2.578 1.531 -1.835
0.058 2.998 -1.835
-3.034 8.238 -0.358
3.857 6.626 -3.539
3.065 5.264 3.979
8.662 1.429 -0.358
-2.214 6.706 4.893
2.160 6.686 1.421
3.459 -0.011 0.633
4.747 5.180 1.421
6.924 1.386 4.893
1.729 2.970 1.096
0.002 0.004 0.006
-0.872 8.217 2.170
6.255 5.593 -1.559
4.554 3.371 -3.623
1.450 8.174 4.519
-0.171 4.865 3.043
4.315 2.254 3.043
1.775 8.201 -1.559
7.576 3.299 2.170
-0.420 5.912 -0.355
1.487 2.554 5.136
0.683 5.625 -3.623
5.349 2.554 -0.355
4.760 8.177 -0.189
6.392 5.297 4.519
2.904 4.988 -1.123

---

No. 2
NaLi4Cd4 PBE optimized geometry; density = 4.6 g cm⁻³; formation energy = -171.9 meV/atom
1.0
4.332 0.000 1.467
2.166 6.299 0.734
0.146 0.000 6.700
Cd Li Na
4 4 1
Cartesian
1.465 0.001 2.804
5.179 6.298 6.096
2.312 2.186 7.433
4.332 4.113 1.468
1.497 4.213 2.709
5.147 2.086 6.192
3.663 2.086 3.443
2.981 4.213 5.458
0.000 0.000 0.000

---

Q: Among the records above, which one has the lowest formation energy?
A: NaLi4Cd4